Compound: Na2CdPdBr6
Source: the Alexandria database
Functional: PBE
Structure: relaxed

```
Na2CdPdBr6
1.0
6.9913 0.0000 0.0000
2.8897 6.7040 0.0000
0.1799 3.5611 6.5338
Na Cd Pd Br
2 1 1 6
Cartesian
0.0000 0.0000 0.0000
3.3883 2.0411 3.2469
6.5741 4.3253 0.5588
3.0743 6.1829 3.7037
2.0551 4.4939 2.1906
4.2121 7.8149 5.1965
4.9937 6.3369 2.1237
4.3853 3.3135 5.6809
5.9307 2.1736 1.8434
8.0493 6.0747 5.1521
```

**Formation energy from raw total energies**: -0.918 eV/atom
**Space group**: P1

Compound: LiDyYS3
Source: the Alexandria database
Functional: PBE
Structure: relaxed

```
LiDyYS3
1.0
8.0216 0.0000 0.0000
0.0000 3.7914 0.0000
-1.7433 0.0000 8.1520
Li Dy Y S
2 2 2 6
Cartesian
0.5543 0.9478 0.6753
5.7240 2.8435 7.4767
2.1416 2.8435 2.7002
4.1366 0.9478 5.4517
0.2230 0.9478 5.8560
6.0552 2.8435 2.2959
0.1095 0.9478 2.9996
0.0063 2.8435 8.0806
2.1960 2.8435 5.4668
4.0823 0.9478 2.6851
6.2720 0.9478 0.0714
6.1688 2.8435 5.1524
```

**Formation energy from raw total energies**: -1.804 eV/atom
**Space group**: P2_1/m

Compound: KHo6S8
Source: the Alexandria database
Functional: PBE
Structure: relaxed

```
KHo6S8
1.0
5.6537 3.2642 4.1361
-5.6537 3.2642 4.1361
0.0000 -6.5283 4.1361
K Ho S
1 6 8
Cartesian
0.0000 0.0000 0.0000
-2.0937 -0.0052 4.7078
1.0514 -1.8106 4.7078
-1.0424 -1.8159 7.7004
1.0423 1.8159 4.7078
-1.0514 1.8106 7.7004
2.0938 0.0052 7.7004
-1.4836 -2.6908 5.1335
0.0000 0.0000 3.0744
-3.0722 -0.0605 7.2746
-1.5885 2.6303 5.1335
1.5885 -2.6303 7.2746
3.0722 0.0605 5.1335
0.0000 0.0000 9.3337
1.4836 2.6908 7.2746
```

**Formation energy from raw total energies**: -1.816 eV/atom
**Space group**: R-3

Compound: HgGeSO6
Source: the Alexandria database
Functional: PBE
Structure: relaxed

```
HgGeSO6
1.0
4.8191 0.0000 0.0000
-2.4096 4.1735 0.0000
0.0000 0.0000 5.0704
Hg Ge S O
1 1 1 6
Cartesian
0.0000 0.0000 0.0000
2.4096 1.3912 2.5352
0.0000 2.7823 2.5352
-0.8025 1.6524 3.5212
-1.3798 2.6523 1.5493
0.8025 1.6524 1.5493
-0.5773 4.0423 3.5212
1.3798 2.6523 3.5212
0.5773 4.0423 1.5493
```

**Formation energy from raw total energies**: -0.887 eV/atom
**Space group**: P312

Compound: MgN2F8
Source: the Alexandria database
Functional: PBE
Structure: relaxed

```
MgN2F8
1.0
6.9715 -3.4861 0.0000
6.9715 3.4861 0.0000
-6.0578 0.0000 7.1831
Mg N F
2 4 16
Cartesian
2.4281 2.6848 5.3874
5.4570 -2.6848 1.7958
1.7174 0.4734 3.1535
-1.3115 -0.4734 6.7450
9.1966 0.4734 0.4381
6.1677 -0.4734 4.0297
-3.0894 0.2149 5.9865
-0.0604 -0.2149 2.3949
2.3761 0.3739 1.9749
3.0565 1.4714 4.0269
5.0064 0.6952 0.1777
1.7998 1.4714 6.7479
-0.6528 -0.3739 5.5665
1.9775 -0.6952 3.7693
5.9077 0.6952 3.4139
8.5380 0.3739 1.6167
6.0854 -1.4714 0.4353
2.8788 -0.6952 7.0054
4.8287 -1.4714 3.1563
5.5091 -0.3739 5.2082
7.9456 0.2149 4.7882
10.9745 -0.2149 1.1966
```

**Formation energy from raw total energies**: -1.082 eV/atom
**Space group**: C2/c

Compound: KNpNiS4
Source: the Alexandria database
Functional: PBE
Structure: relaxed

```
KNpNiS4
1.0
6.5235 0.0000 0.0000
0.0000 5.5837 0.0000
-2.4616 0.0000 8.5356
K Np Ni S
2 2 2 8
Cartesian
0.4860 1.3959 3.8221
3.5760 4.1877 4.7135
-0.7767 1.3959 8.0649
4.8386 4.1877 0.4707
1.3433 4.1877 1.3807
2.7186 1.3959 7.1549
-0.4430 4.1877 2.7074
-1.7665 4.1877 7.8364
1.1780 2.8847 6.7836
1.1780 5.4908 6.7836
2.8840 0.0929 1.7519
2.8840 2.6989 1.7519
5.8284 1.3959 0.6992
4.5050 1.3959 5.8281
```

**Formation energy from raw total energies**: -0.938 eV/atom
**Space group**: P2_1/m

Compound: AlHgCl4
Source: the Alexandria database
Functional: PBE
Structure: relaxed

```
AlHgCl4
1.0
0.0000 4.3146 4.3146
4.3146 0.0000 4.3146
4.3146 4.3146 0.0000
Al Hg Cl
1 1 4
Cartesian
0.0000 0.0000 0.0000
2.1573 2.1573 2.1573
5.3980 3.2312 3.2312
3.2312 5.3980 3.2312
3.2312 3.2312 5.3980
5.3980 5.3980 5.3980
```

**Formation energy from raw total energies**: 0.372 eV/atom
**Space group**: F-43m

Compound: La5InPd2
Source: the Alexandria database
Functional: PBE
Structure: relaxed

```
La5InPd2
1.0
-4.1318 4.1318 6.9997
4.1318 -4.1318 6.9997
4.1318 4.1318 -6.9997
La In Pd
10 2 4
Cartesian
0.0000 0.0000 0.0000
5.4493 1.3175 -1.9827
1.3175 2.8143 -1.9827
5.4493 1.3175 1.9827
1.3175 2.8143 1.9827
0.0000 0.0000 6.9997
2.8143 1.3175 5.0170
-1.3175 2.8143 5.0170
2.8143 1.3175 8.9825
-1.3175 2.8143 8.9825
0.0000 0.0000 3.4999
0.0000 0.0000 10.4996
3.0468 1.0850 0.0000
3.0468 -1.0850 6.9997
1.0850 5.2168 0.0000
1.0850 3.0468 6.9997
```

**Formation enthalpy at 0 K**: -0.55 eV per atom
**Space group**: I4/mcm

Compound: Cd2FeSb
Source: the Alexandria database
Functional: PBE
Structure: relaxed

```
Cd2FeSb
1.0
-1.4776 2.3262 6.4126
1.4776 -2.3262 6.4126
1.4776 2.3262 -6.4126
Cd Fe Sb
2 1 1
Cartesian
0.0000 0.0000 0.0000
0.0000 2.3262 2.1258
0.0000 0.0000 6.1814
1.4776 0.0000 3.9735
```

**Formation energy from raw total energies**: 0.201 eV/atom
**Space group**: Imm2

Compound: LiPm2AlO
Source: the Alexandria database
Functional: PBE
Structure: relaxed

```
LiPm2AlO
1.0
4.9362 0.0000 0.0000
0.0000 4.9362 0.0000
0.0000 0.0000 4.1768
Li Pm Al O
1 2 1 1
Cartesian
0.0000 0.0000 0.0000
0.0000 2.4681 2.0884
2.4681 0.0000 2.0884
2.4681 2.4681 0.0000
0.0000 0.0000 2.0884
```

**Formation energy from raw total energies**: -1.304 eV/atom
**Space group**: P4/mmm

Compound: Na2AcAsS4
Source: the Alexandria database
Functional: PBE
Structure: relaxed

```
Na2AcAsS4
1.0
7.0671 0.0000 0.0000
0.0000 4.0961 0.0000
-2.3728 0.0000 6.7223
Na Ac As S
2 1 1 4
Cartesian
0.0000 0.0000 0.0000
3.5336 2.0481 0.0000
-1.1864 2.0481 3.3611
2.3472 0.0000 3.3611
0.2031 0.0000 4.9370
1.3581 2.0481 1.8752
3.3362 2.0481 4.8471
4.4913 0.0000 1.7853
```

**Formation energy from raw total energies**: -1.101 eV/atom
**Space group**: P2/m

Compound: DyZn2Ni
Source: the Alexandria database
Functional: PBE
Structure: relaxed

```
DyZn2Ni
1.0
3.1810 0.0000 0.0000
0.0000 3.1810 0.0000
0.0000 0.0000 6.6940
Dy Zn Ni
1 2 1
Cartesian
0.0000 0.0000 0.0000
1.5905 1.5905 2.0811
1.5905 1.5905 4.6129
0.0000 0.0000 3.3470
```

**Formation enthalpy at 0 K**: -0.20 eV per atom
**Space group**: P4/mmm